First-principles (PBE) data for a geometry-optimized Pr2ScMnSe6 structure, as listed in the Alexandria database.

Cell and atoms, written as CIF:
```
data_Pr2ScMnSe6
_chemical_formula_sum 'Pr4 Sc2 Mn2 Se12'
_cell_length_a 6.700
_cell_length_b 7.587
_cell_length_c 9.751
_cell_angle_alpha 90.00
_cell_angle_beta 90.44
_cell_angle_gamma 90.00
_symmetry_space_group_name_H-M 'P 1'
_symmetry_Int_Tables_number 1
_symmetry_space_group_name_Hall 'P 1'
loop_
_atom_site_label
_atom_site_type_symbol
_atom_site_fract_x
_atom_site_fract_y
_atom_site_fract_z
Se1 Se 0.672 0.320 0.558
Se2 Se 0.374 0.975 0.740
Se3 Se 0.172 0.180 0.058
Se4 Se 0.626 0.025 0.260
Se5 Se 0.680 0.325 0.946
Se6 Se 0.320 0.675 0.054
Se7 Se 0.328 0.680 0.442
Se8 Se 0.874 0.525 0.240
Se9 Se 0.126 0.475 0.760
Se10 Se 0.820 0.825 0.554
Se11 Se 0.828 0.820 0.942
Se12 Se 0.180 0.175 0.446
Sc1 Sc 0.000 0.500 0.500
Sc2 Sc 0.500 0.000 0.000
Pr1 Pr 0.546 0.612 0.748
Pr2 Pr 0.454 0.388 0.252
Pr3 Pr 0.954 0.112 0.752
Pr4 Pr 0.046 0.888 0.248
Mn1 Mn 0.500 0.000 0.500
Mn2 Mn 0.000 0.500 0.000
```

Values from the calculation:
V	24.8	Å³ per atom
uncorrected formation energy	-1.467	eV per atom